A plane-wave DFT calculation with PBE-GGA was carried out for crystalline NiPt2Pb at its relaxed geometry.

For the electronic total energy, the calculation gives -21.52 eV per formula unit. As for the density of states at the Fermi level: 3.2 states/eV/f.u. As for the volume: 16.47 Å³/atom. Its magnetic moment is 0.0 μB/cell.

The space group is I4/mmm (No. 139) and the conventional cell measures 4.067, 4.067 and 7.968 Å, with angles of 90.00, 90.00 and 90.00 degrees. The asymmetric unit holds Ni at (0.000, 0.000, 0.000), Pt at (0.000, 0.500, 0.250) and Pb at (0.000, 0.000, 0.500).

***

A plane-wave DFT calculation with PBE-GGA was carried out for crystalline Ca3Nd2Hg4 at its relaxed geometry.

For the electronic total energy, the calculation gives -19.87 eV per formula unit. As for the density of states at the Fermi level: 10.8 states/eV/f.u. As for the volume: 29.95 Å³/atom. Its magnetic moment is 0.0 μB/cell.

The space group is Cmce (No. 64) and the conventional cell measures 7.107, 19.015 and 7.979 Å, with angles of 90.00, 90.00 and 90.00 degrees. The asymmetric unit holds Ca at (0.000, 0.000, 0.000), Ca at (0.250, 0.234, 0.250), Nd at (0.000, 0.094, 0.585), Hg at (0.000, 0.161, 0.960) and Hg at (0.250, 0.067, 0.250).

***

A plane-wave DFT calculation with PBE-GGA was carried out for crystalline Ho2TeO at its relaxed geometry.

For the electronic total energy, the calculation gives -25.00 eV per formula unit. As for the density of states at the Fermi level: 1.6 states/eV/f.u. As for the volume: 22.19 Å³/atom. Its magnetic moment is 0.0 μB/cell. The uncorrected formation energy comes out at -1937.0 meV/atom.

The space group is P2_1/c (No. 14) and the conventional cell measures 8.023, 6.643 and 6.683 Å, with angles of 90.00, 94.57 and 90.00 degrees. The asymmetric unit holds Ho at (0.064, 0.170, 0.342), Ho at (0.297, 0.642, 0.556), Te at (0.363, 0.115, 0.689) and O at (0.115, 0.664, 0.865).

***

A plane-wave DFT calculation with PBE-GGA was carried out for crystalline Tm3Ga2Ru2 at its relaxed geometry.

For the electronic total energy, the calculation gives -42.13 eV per formula unit. As for the density of states at the Fermi level: 5.2 states/eV/f.u. As for the volume: 20.47 Å³/atom. Its magnetic moment is 0.0 μB/cell.

The space group is Pbcm (No. 57) and the conventional cell measures 5.513, 7.459 and 13.937 Å, with angles of 90.00, 90.00 and 90.00 degrees. The asymmetric unit holds Tm at (0.114, 0.236, 0.250), Tm at (0.349, 0.600, 0.095), Ga at (0.141, 0.250, 0.000), Ga at (0.383, 0.606, 0.750) and Ru at (0.147, 0.540, 0.595).

***

A plane-wave DFT calculation with PBE-GGA was carried out for crystalline Pm2Th3Ge4 at its relaxed geometry.

For the electronic total energy, the calculation gives -55.73 eV per formula unit. As for the density of states at the Fermi level: 5.5 states/eV/f.u. As for the volume: 27.65 Å³/atom. Its magnetic moment is 0.0 μB/cell.

The space group is C2/m (No. 12) and the conventional cell measures 11.398, 4.436 and 9.946 Å, with angles of 90.00, 98.23 and 90.00 degrees. The asymmetric unit holds Pm at (0.173, 0.000, 0.310), Th at (0.000, 0.500, 0.500), Th at (0.130, 0.000, 0.904), Ge at (0.083, 0.500, 0.112) and Ge at (0.157, 0.000, 0.614).

***

A plane-wave DFT calculation with PBE-GGA was carried out for crystalline RbHf3Ag at its relaxed geometry.

For the electronic total energy, the calculation gives -21.89 eV per formula unit. As for the density of states at the Fermi level: 5.6 states/eV/f.u. As for the volume: 25.33 Å³/atom. Its magnetic moment is 0.0 μB/cell.

The space group is Pm-3m (No. 221) and the conventional cell measures 5.022, 5.022 and 5.022 Å, with angles of 90.00, 90.00 and 90.00 degrees. The asymmetric unit holds Rb at (0.000, 0.000, 0.000), Hf at (0.000, 0.000, 0.500) and Ag at (0.500, 0.500, 0.500).

***

A plane-wave DFT calculation with PBE-GGA was carried out for crystalline Y2RuPbC at its relaxed geometry.

For the electronic total energy, the calculation gives -37.10 eV per formula unit. As for the density of states at the Fermi level: 1.8 states/eV/f.u. As for the volume: 20.46 Å³/atom. Its magnetic moment is 0.0 μB/cell.

The space group is P4/mmm (No. 123) and the conventional cell measures 5.055, 5.055 and 4.003 Å, with angles of 90.00, 90.00 and 90.00 degrees. The asymmetric unit holds Y at (0.000, 0.500, 0.000), Ru at (0.000, 0.000, 0.500), Pb at (0.500, 0.500, 0.500) and C at (0.000, 0.000, 0.000).

***

A plane-wave DFT calculation with PBE-GGA was carried out for crystalline Te2RhBr at its relaxed geometry.

For the electronic total energy, the calculation gives -14.26 eV per formula unit. As for the density of states at the Fermi level: 2.2 states/eV/f.u. As for the volume: 24.51 Å³/atom. Its magnetic moment is 0.0 μB/cell. The uncorrected formation energy comes out at 261.8 meV/atom.

The space group is I4/mmm (No. 139) and the conventional cell measures 5.721, 5.721 and 5.992 Å, with angles of 90.00, 90.00 and 90.00 degrees. The asymmetric unit holds Te at (0.000, 0.500, 0.000), Rh at (0.000, 0.000, 0.000) and Br at (0.000, 0.000, 0.500).

***

Q: Among the records above, which one has the lowest electronic total energy?
A: Pm2Th3Ge4